Entry from the Alexandria database: crystalline UCoSn at its relaxed geometry (PBE-GGA).

POSCAR file:
```
UCoSn
1.0
-6.640 -2.416 -0.036
4.913 -3.109 -4.016
0.893 -2.500 3.027
U Co Sn
3 3 3
direct
0.000 0.581 0.500
0.419 0.419 0.500
0.581 0.000 0.500
0.333 0.667 0.000
0.000 0.000 0.500
0.667 0.333 0.000
0.749 0.749 0.000
0.000 0.251 0.000
0.251 0.000 0.000
```

Results
Formation enthalpy at 0 K ... -0.16 eV/atom